(one)
{"formula": "Gd2MnFe", "functional": "GGA-PBE", "state": "relaxed", "cell": [[3.4992, 0.0000, 0.0000], [0.0000, 3.4992, 0.0000], [0.0000, 0.0000, 7.0174]], "species": ["Gd", "Gd", "Mn", "Fe"], "frac_coords": [[0.0000, 0.0000, 0.2336], [0.0000, 0.0000, 0.7664], [0.5000, 0.5000, 0.5000], [0.5000, 0.5000, 0.0000]]}



(two)
{"formula": "Gd2MnFe", "functional": "GGA-PBE", "state": "relaxed", "cell": [[0.0000, 3.5001, 3.5001], [3.5001, 0.0000, 3.5001], [3.5001, 3.5001, 0.0000]], "species": ["Gd", "Gd", "Mn", "Fe"], "frac_coords": [[0.2500, 0.2500, 0.2500], [0.7500, 0.7500, 0.7500], [0.0000, 0.0000, 0.0000], [0.5000, 0.5000, 0.5000]]}



Energies relative to the most stable structure, in meV/atom: (one) 0; (two) 50.



(one)
{"formula": "NaGd2Fe", "functional": "GGA-PBE", "state": "relaxed", "cell": [[1.8845, 1.0880, 10.3783], [-1.8845, 1.0880, 10.3783], [0.0000, -2.1761, 10.3783]], "species": ["Na", "Gd", "Gd", "Fe"], "frac_coords": [[0.0000, 0.0000, 0.0000], [0.1168, 0.1168, 0.1168], [0.8832, 0.8832, 0.8832], [0.5000, 0.5000, 0.5000]]}



(two)
{"formula": "NaGd2Fe", "functional": "GGA-PBE", "state": "relaxed", "cell": [[3.4075, 0.0000, 0.0000], [0.0000, 3.4075, 0.0000], [0.0000, 0.0000, 9.3666]], "species": ["Na", "Gd", "Gd", "Fe"], "frac_coords": [[0.0000, 0.0000, 0.0000], [0.5000, 0.5000, 0.3269], [0.5000, 0.5000, 0.6731], [0.0000, 0.0000, 0.5000]]}



Energies relative to the most stable structure, in meV/atom: (one) 154; (two) 0.



(one)
{"formula": "Gd2FePb", "functional": "GGA-PBE", "state": "relaxed", "cell": [[1.8108, 1.0455, 10.0454], [-1.8108, 1.0455, 10.0454], [0.0000, -2.0909, 10.0454]], "species": ["Gd", "Gd", "Fe", "Pb"], "frac_coords": [[0.1083, 0.1083, 0.1083], [0.8917, 0.8917, 0.8917], [0.5000, 0.5000, 0.5000], [0.0000, 0.0000, 0.0000]]}



(two)
{"formula": "Gd2FePb", "functional": "GGA-PBE", "state": "relaxed", "cell": [[3.4946, 0.0000, 0.0000], [0.0000, 3.4946, 0.0000], [0.0000, 0.0000, 8.0484]], "species": ["Gd", "Gd", "Fe", "Pb"], "frac_coords": [[0.0000, 0.0000, 0.2069], [0.0000, 0.0000, 0.7931], [0.5000, 0.5000, 0.0000], [0.5000, 0.5000, 0.5000]]}



Energies relative to the most stable structure, in meV/atom: (one) 367; (two) 0.



(one)
{"formula": "GdPuFe2", "functional": "GGA-PBE", "state": "relaxed", "cell": [[3.3385, 0.0000, 0.0000], [0.0000, 3.3385, 0.0000], [0.0000, 0.0000, 6.7886]], "species": ["Gd", "Pu", "Fe", "Fe"], "frac_coords": [[0.0000, 0.0000, 0.0000], [0.0000, 0.0000, 0.5000], [0.5000, 0.5000, 0.2928], [0.5000, 0.5000, 0.7072]]}



(two)
{"formula": "GdPuFe2", "functional": "GGA-PBE", "state": "relaxed", "cell": [[0.0000, 3.3449, 3.3449], [3.3449, 0.0000, 3.3449], [3.3449, 3.3449, 0.0000]], "species": ["Gd", "Pu", "Fe", "Fe"], "frac_coords": [[0.0000, 0.0000, 0.0000], [0.5000, 0.5000, 0.5000], [0.2500, 0.2500, 0.2500], [0.7500, 0.7500, 0.7500]]}



(three)
{"formula": "GdPuFe2", "functional": "GGA-PBE", "state": "relaxed", "cell": [[1.5148, 0.8746, 9.7703], [-1.5148, 0.8746, 9.7703], [0.0000, -1.7491, 9.7703]], "species": ["Gd", "Pu", "Fe", "Fe"], "frac_coords": [[0.0000, 0.0000, 0.0000], [0.5000, 0.5000, 0.5000], [0.2498, 0.2498, 0.2498], [0.7502, 0.7502, 0.7502]]}



Energies relative to the most stable structure, in meV/atom: (one) 0; (two) 41; (three) 580.



(one)
{"formula": "Gd2FeSn", "functional": "GGA-PBE", "state": "relaxed", "cell": [[3.4819, 0.0000, 0.0000], [0.0000, 3.4819, 0.0000], [0.0000, 0.0000, 7.8277]], "species": ["Gd", "Gd", "Fe", "Sn"], "frac_coords": [[0.0000, 0.0000, 0.2132], [0.0000, 0.0000, 0.7868], [0.5000, 0.5000, 0.0000], [0.5000, 0.5000, 0.5000]]}



(two)
{"formula": "Gd2FeSn", "functional": "GGA-PBE", "state": "relaxed", "cell": [[1.7808, 1.0282, 9.9637], [-1.7808, 1.0282, 9.9637], [0.0000, -2.0563, 9.9637]], "species": ["Gd", "Gd", "Fe", "Sn"], "frac_coords": [[0.1076, 0.1076, 0.1076], [0.8924, 0.8924, 0.8924], [0.5000, 0.5000, 0.5000], [0.0000, 0.0000, 0.0000]]}



Energies relative to the most stable structure, in meV/atom: (one) 0; (two) 518.



(one)
{"formula": "GdThFe", "functional": "GGA-PBE", "state": "relaxed", "cell": [[4.2775, 0.0000, 0.0000], [-2.1388, 3.7044, 0.0000], [0.0000, 0.0000, 4.5949]], "species": ["Gd", "Th", "Fe"], "frac_coords": [[0.0000, 0.0000, 0.0000], [0.6667, 0.3333, 0.4998], [0.3333, 0.6667, 0.0015]]}



(two)
{"formula": "GdThFe", "functional": "GGA-PBE", "state": "relaxed", "cell": [[-1.7330, 1.7330, 6.0378], [1.7330, -1.7330, 6.0378], [1.7330, 1.7330, -6.0378]], "species": ["Gd", "Th", "Fe"], "frac_coords": [[0.0000, 0.0000, 0.0000], [0.2756, 0.2756, 0.0000], [0.6536, 0.6536, 0.0000]]}



Energies relative to the most stable structure, in meV/atom: (one) 308; (two) 0.



(one)
{"formula": "Gd2TmFe", "functional": "GGA-PBE", "state": "relaxed", "cell": [[1.7927, 1.0350, 9.6868], [-1.7927, 1.0350, 9.6868], [0.0000, -2.0700, 9.6868]], "species": ["Gd", "Gd", "Tm", "Fe"], "frac_coords": [[0.2296, 0.2296, 0.2296], [0.7704, 0.7704, 0.7704], [0.0000, 0.0000, 0.0000], [0.5000, 0.5000, 0.5000]]}



(two)
{"formula": "Gd2TmFe", "functional": "GGA-PBE", "state": "relaxed", "cell": [[3.4749, 0.0000, 0.0000], [0.0000, 3.4749, 0.0000], [0.0000, 0.0000, 8.5710]], "species": ["Gd", "Gd", "Tm", "Fe"], "frac_coords": [[0.0000, 0.0000, 0.1912], [0.0000, 0.0000, 0.8088], [0.5000, 0.5000, 0.5000], [0.5000, 0.5000, 0.0000]]}



Energies relative to the most stable structure, in meV/atom: (one) 105; (two) 0.



(one)
{"formula": "GdUFe", "functional": "GGA-PBE", "state": "relaxed", "cell": [[-1.6667, 1.6667, 5.5424], [1.6667, -1.6667, 5.5424], [1.6667, 1.6667, -5.5424]], "species": ["Gd", "U", "Fe"], "frac_coords": [[0.0000, 0.0000, 0.0000], [0.7074, 0.7074, 0.0000], [0.2876, 0.2876, 0.0000]]}



(two)
{"formula": "GdUFe", "functional": "GGA-PBE", "state": "relaxed", "cell": [[3.4633, 0.0000, 0.0000], [-1.7316, 2.9993, 0.0000], [0.0000, 0.0000, 6.2002]], "species": ["Gd", "U", "Fe"], "frac_coords": [[0.0000, 0.0000, 0.0000], [0.6667, 0.3333, 0.4398], [0.3333, 0.6667, 0.6535]]}



Energies relative to the most stable structure, in meV/atom: (one) 0; (two) 117.



(one)
{"formula": "GdFe2W", "functional": "GGA-PBE", "state": "relaxed", "cell": [[2.0953, 1.2097, 4.6373], [-2.0953, 1.2097, 4.6373], [0.0000, -2.4195, 4.6373]], "species": ["Gd", "Fe", "Fe", "W"], "frac_coords": [[0.0000, 0.0000, 0.0000], [0.2037, 0.2037, 0.2037], [0.7963, 0.7963, 0.7963], [0.5000, 0.5000, 0.5000]]}



(two)
{"formula": "GdFe2W", "functional": "GGA-PBE", "state": "relaxed", "cell": [[3.0326, 0.0000, 0.0000], [0.0000, 3.0326, 0.0000], [0.0000, 0.0000, 6.9492]], "species": ["Gd", "Fe", "Fe", "W"], "frac_coords": [[0.0000, 0.0000, 0.0000], [0.5000, 0.5000, 0.3038], [0.5000, 0.5000, 0.6962], [0.0000, 0.0000, 0.5000]]}



Energies relative to the most stable structure, in meV/atom: (one) 68; (two) 0.



(one)
{"formula": "Gd2ZnFe", "functional": "GGA-PBE", "state": "relaxed", "cell": [[1.8217, 1.0518, 9.6616], [-1.8217, 1.0518, 9.6616], [0.0000, -2.1035, 9.6616]], "species": ["Gd", "Gd", "Zn", "Fe"], "frac_coords": [[0.1086, 0.1086, 0.1086], [0.8914, 0.8914, 0.8914], [0.0000, 0.0000, 0.0000], [0.5000, 0.5000, 0.5000]]}



(two)
{"formula": "Gd2ZnFe", "functional": "GGA-PBE", "state": "relaxed", "cell": [[3.4842, 0.0000, 0.0000], [0.0000, 3.4842, 0.0000], [0.0000, 0.0000, 7.1507]], "species": ["Gd", "Gd", "Zn", "Fe"], "frac_coords": [[0.0000, 0.0000, 0.2302], [0.0000, 0.0000, 0.7698], [0.5000, 0.5000, 0.5000], [0.5000, 0.5000, 0.0000]]}



(three)
{"formula": "Gd2ZnFe", "functional": "GGA-PBE", "state": "relaxed", "cell": [[0.0000, 3.5069, 3.5069], [3.5069, 0.0000, 3.5069], [3.5069, 3.5069, 0.0000]], "species": ["Gd", "Gd", "Zn", "Fe"], "frac_coords": [[0.2500, 0.2500, 0.2500], [0.7500, 0.7500, 0.7500], [0.0000, 0.0000, 0.0000], [0.5000, 0.5000, 0.5000]]}



Energies relative to the most stable structure, in meV/atom: (one) 461; (two) 0; (three) 30.



(one)
{"formula": "Fe13Ge3", "functional": "GGA-PBE", "state": "relaxed", "cell": [[5.7318, 0.0000, 0.0000], [0.0000, 5.7318, 0.0000], [0.0000, 0.0000, 5.7318]], "species": ["Fe", "Fe", "Fe", "Fe", "Fe", "Fe", "Fe", "Fe", "Fe", "Fe", "Fe", "Fe", "Fe", "Ge", "Ge", "Ge"], "frac_coords": [[0.0000, 0.0000, 0.0000], [0.0000, 0.0000, 0.5000], [0.0000, 0.5000, 0.0000], [0.2474, 0.2474, 0.2474], [0.2474, 0.2474, 0.7526], [0.2474, 0.7526, 0.2474], [0.2474, 0.7526, 0.7526], [0.5000, 0.0000, 0.0000], [0.5000, 0.5000, 0.5000], [0.7526, 0.2474, 0.2474], [0.7526, 0.2474, 0.7526], [0.7526, 0.7526, 0.2474], [0.7526, 0.7526, 0.7526], [0.0000, 0.5000, 0.5000], [0.5000, 0.0000, 0.5000], [0.5000, 0.5000, 0.0000]]}



(two)
{"formula": "Fe13Ge3", "functional": "GGA-PBE", "state": "relaxed", "cell": [[5.9747, 0.0000, 0.0000], [0.0000, 3.9686, 4.0860], [0.0000, -3.9686, 4.0860]], "species": ["Fe", "Fe", "Fe", "Fe", "Fe", "Fe", "Fe", "Fe", "Fe", "Fe", "Fe", "Fe", "Fe", "Ge", "Ge", "Ge"], "frac_coords": [[0.0000, 0.0000, 0.0000], [0.0000, 0.0033, 0.5029], [0.0000, 0.5029, 0.0033], [0.0000, 0.5131, 0.5131], [0.2424, 0.7468, 0.7468], [0.2481, 0.2534, 0.7533], [0.2481, 0.7533, 0.2534], [0.5000, 0.0002, 0.5011], [0.5000, 0.5011, 0.0002], [0.5000, 0.5090, 0.5090], [0.7519, 0.2534, 0.7533], [0.7519, 0.7533, 0.2534], [0.7576, 0.7468, 0.7468], [0.2448, 0.2688, 0.2688], [0.5000, 0.9755, 0.9755], [0.7552, 0.2688, 0.2688]]}



Energies relative to the most stable structure, in meV/atom: (one) 0; (two) 49.



(one)
{"formula": "Fe7Ge4", "functional": "GGA-PBE", "state": "relaxed", "cell": [[8.0367, 0.0000, 0.0000], [-4.0183, 6.9600, 0.0000], [0.0000, 0.0000, 4.9561]], "species": ["Fe", "Fe", "Fe", "Fe", "Fe", "Fe", "Fe", "Fe", "Fe", "Fe", "Fe", "Fe", "Fe", "Fe", "Ge", "Ge", "Ge", "Ge", "Ge", "Ge", "Ge", "Ge"], "frac_coords": [[0.0000, 0.0000, 0.0000], [0.0000, 0.0000, 0.5000], [0.0000, 0.5000, 0.0000], [0.0000, 0.5000, 0.5000], [0.1611, 0.3222, 0.2500], [0.1611, 0.8389, 0.2500], [0.3222, 0.1611, 0.7500], [0.5000, 0.0000, 0.0000], [0.5000, 0.0000, 0.5000], [0.5000, 0.5000, 0.0000], [0.5000, 0.5000, 0.5000], [0.6778, 0.8389, 0.2500], [0.8389, 0.1611, 0.7500], [0.8389, 0.6778, 0.7500], [0.1875, 0.3750, 0.7500], [0.1875, 0.8125, 0.7500], [0.3333, 0.6667, 0.2500], [0.3750, 0.1875, 0.2500], [0.6250, 0.8125, 0.7500], [0.6667, 0.3333, 0.7500], [0.8125, 0.1875, 0.2500], [0.8125, 0.6250, 0.2500]]}



(two)
{"formula": "Fe7Ge4", "functional": "GGA-PBE", "state": "relaxed", "cell": [[4.0620, 0.0000, 0.0000], [-2.0310, 3.5178, 0.0000], [0.0000, 0.0000, 9.9395]], "species": ["Fe", "Fe", "Fe", "Fe", "Fe", "Fe", "Fe", "Ge", "Ge", "Ge", "Ge"], "frac_coords": [[0.0000, 0.0000, 0.0000], [0.3333, 0.6667, 0.1238], [0.3333, 0.6667, 0.3765], [0.3333, 0.6667, 0.6235], [0.3333, 0.6667, 0.8762], [0.6667, 0.3333, 0.2606], [0.6667, 0.3333, 0.7394], [0.0000, 0.0000, 0.2532], [0.0000, 0.0000, 0.7468], [0.6667, 0.3333, 0.0000], [0.6667, 0.3333, 0.5000]]}



Energies relative to the most stable structure, in meV/atom: (one) 0; (two) 13.